The following is a PBEsol calculation of a relaxed Hg2TeOs crystal, from Alexandria via LeMat-Bulk.

a = 4.056 Å, b = 4.056 Å, c = 4.801 Å
α = 90.00°, β = 90.00°, γ = 90.00°
Fractional coordinates of all 4 atoms:
Hg1 0.000 0.500 0.000
Hg2 0.500 0.000 0.000
Te1 0.000 0.000 0.500
Os1 0.500 0.500 0.500

Values from the calculation:
Its formation energy without anion corrections is 873 meV per atom. The density comes out at 15.1 Mg/m³. As for the space group: P4/mmm.